Compound: Sm5IrAu2
Source: Alexandria via LeMat-Bulk
Functional: PBE
Structure: optimized geometry

The structure belongs to space group Pbam (No. 55); the cell edges are 7.6230, 11.9548 and 4.7604 Å and the angles 90.00°, 90.00° and 90.00°. The distinct sites, in fractional coordinates, are Sm at (0.0000, 0.0000, 0.0000), Sm at (0.1560, 0.2947, 0.0000), Sm at (0.1795, 0.5834, 0.5000), Ir at (0.0000, 0.5000, 0.0000) and Au at (0.0649, 0.8339, 0.5000).

The energy of formation is -0.650 eV/atom. The calculation puts the density at 10.243 g/cm³. The calculation puts the density of states at the Fermi level at 1.02 states/eV per atom.